No. 1
CsNb4S8: relaxed, PBE.

a = 7.5352 Å, b = 7.5352 Å, c = 7.5352 Å
α = 60.00°, β = 60.00°, γ = 60.00°
With the nearest neighbours (Å) after each atom.
Sites, in units of the cell vectors:
1 S 0.1273 0.1273 0.6180  3 Nb 2.48
2 S 0.5960 0.5960 0.2119  3 Nb 2.62, 1 Cs 2.84, 3 S 2.89
3 S 0.6180 0.1273 0.1273  3 Nb 2.48
4 S 0.5960 0.5960 0.5960  3 Nb 2.62, 1 Cs 2.84, 3 S 2.89
5 S 0.1273 0.1273 0.1273  3 Nb 2.48
6 S 0.1273 0.6180 0.1273  3 Nb 2.48
7 S 0.2119 0.5960 0.5960  3 Nb 2.62, 1 Cs 2.84, 3 S 2.89
8 S 0.5960 0.2119 0.5960  3 Nb 2.62, 1 Cs 2.84, 3 S 2.89
9 Nb 0.3589 0.3589 0.9232  6 S 2.48-2.62
10 Nb 0.3589 0.3589 0.3589  6 S 2.48-2.62
11 Nb 0.9232 0.3589 0.3589  6 S 2.48-2.62
12 Nb 0.3589 0.9232 0.3589  6 S 2.48-2.62
13 Cs 0.7500 0.7500 0.7500  4 S 2.84

Summary:
* E above lowest polymorph: 359 meV per atom
* total magnetic moment: 0.0 μB per cell
* E_tot: -0.4749 Ry/atom
* DOS at the Fermi energy: 6.18 states/eV/f.u.
* energy relative to the elements, uncorrected: -757 meV per atom

No. 2
LaPrAl2: relaxed, PBE.

a = 3.7789 Å, b = 3.7789 Å, c = 7.5666 Å
α = 90.00°, β = 90.00°, γ = 90.00°
With the nearest neighbours (Å) after each atom.
Sites, in units of the cell vectors:
1 Pr 0.5000 0.5000 0.0000  8 Al 3.25
2 La 0.5000 0.5000 0.5000  8 Al 3.30
3 Al 0.0000 0.0000 0.7562  4 Pr 3.25, 4 La 3.30
4 Al 0.0000 0.0000 0.2438  4 Pr 3.25, 4 La 3.30

Summary:
* E above lowest polymorph: 20 meV per atom
* total magnetic moment: 0.0 μB per cell
* E_tot: -0.3415 Ry/atom
* DOS at the Fermi energy: 1.71 states/eV/f.u.
* ΔE_f: -0.349 eV/atom